Record 1
The following is a DFT calculation (PBE) of La4Dy4Er3 after structural relaxation.

POSCAR file:
```
La4Dy4Er3
1.0
3.530 0.000 0.002
0.000 5.722 0.006
1.754 2.851 17.945
Dy La Er
4 4 3
Cartesian
1.760 5.719 6.522
3.520 5.715 16.339
1.763 2.858 1.609
3.523 2.855 11.432
1.763 5.718 3.302
1.759 2.856 8.262
3.524 5.717 9.694
3.520 2.855 14.652
1.757 5.717 13.069
3.526 2.856 4.884
1.754 2.851 17.943
```

Calculated values
The calculation puts the formation energy at 0.0668 eV per atom.

Record 2
The following is a DFT calculation (PBE) of LaPm2Nd4Sc after structural relaxation.

POSCAR file:
```
LaPm2Nd4Sc
1.0
5.124 0.000 0.000
0.000 11.400 -1.615
0.000 2.886 4.220
Pm La Nd Sc
2 1 4 1
Cartesian
0.000 2.886 4.220
2.562 1.443 2.110
2.562 8.586 3.412
2.562 5.045 2.741
0.000 10.678 1.979
2.562 9.241 -0.136
5.124 3.608 0.626
0.000 7.143 1.302
```

Calculated values
The calculation puts the formation energy at 0.0308 eV per atom.

Record 3
The following is a DFT calculation (PBE) of MnSi2Ge after structural relaxation.

POSCAR file:
```
MnSi2Ge
1.0
-5.614 1.010 0.621
0.526 -0.570 5.685
-1.580 5.317 3.575
Si Ge Mn
4 2 2
Cartesian
-3.812 1.884 1.990
-5.639 4.375 8.173
-3.091 4.150 5.072
-0.793 1.104 4.527
0.000 0.000 0.000
-4.869 3.273 3.674
-2.544 0.220 3.153
-1.799 2.484 6.206
```

Calculated values
Its uncorrected formation energy is 480 meV/atom.

Record 4
The following is a DFT calculation (PBE) of Ho3GaIr2 after structural relaxation.

POSCAR file:
```
Ho3GaIr2
1.0
-2.315 -2.626 1.827
6.056 1.560 9.917
-7.289 8.584 3.102
Ir Ho Ga
8 12 4
Cartesian
-0.741 5.484 13.347
-0.034 0.436 6.986
-2.807 2.033 1.499
-0.001 4.665 8.838
-3.515 7.081 7.859
-2.925 9.142 11.568
-0.623 -1.625 3.277
-3.548 2.853 6.007
-4.895 7.159 10.490
0.296 3.265 11.471
2.905 0.623 10.978
-0.663 3.155 5.829
-3.844 4.252 3.375
1.347 0.358 4.356
-2.885 4.362 9.017
-5.620 5.410 7.057
-0.690 6.627 10.785
2.072 2.107 7.789
-2.858 0.891 4.061
-6.453 6.895 3.867
-0.695 0.583 2.091
-2.854 6.935 12.754
-2.848 5.259 6.084
-0.700 2.259 8.761
```

Calculated values
The calculation puts the formation energy at -0.7724 eV per atom.

Record 5
The following is a DFT calculation (PBE) of CrReSb2 after structural relaxation.

POSCAR file:
```
CrReSb2
1.0
3.078 0.000 0.000
0.000 3.078 0.000
0.000 0.000 8.518
Sb Re Cr
2 1 1
Cartesian
1.539 1.539 2.808
0.000 0.000 7.887
1.539 1.539 5.981
0.000 0.000 4.620
```

Calculated values
Its uncorrected formation energy is 222 meV/atom.

Record 6
The following is a DFT calculation (PBE) of InAsBr2 after structural relaxation.

POSCAR file:
```
InAsBr2
1.0
4.004 0.000 0.000
0.000 4.002 0.000
0.000 0.000 8.491
As Br In
1 2 1
Cartesian
2.002 2.001 4.942
2.002 2.001 2.593
0.000 0.000 8.111
0.000 0.000 5.581
```

Calculated values
Its uncorrected formation energy is -305 meV/atom.

The density results, record by record, are as follows: 7.8 6.5 3.6 11.7 9.9 4.3 Mg/m³.
The uncorrected energy results, record by record, are as follows: -4.6429 -4.9482 -5.6783 -6.5195 -7.3576 -2.9882 eV per atom.